[1]
A geometry-optimized Mn2TlNi structure, computed with GGA-PBE.

Cell: 4.859 4.859 4.859 Å, 131.96 132.24 70.07°
Last column: magnetic moment on the atom in μB.
Fractional coordinates of all 4 atoms:
Mn  0.751  0.251  0.500  3.46
Mn  0.000  0.000  0.000  3.46
Tl  0.250  0.750  0.500  -0.09
Ni  0.500  0.500  0.000  0.50

ΔE to the lowest computed polymorph in eV per atom: 0.0839
SG: Imm2, No. 44
Calculated formation energy in meV per atom: 375
Calculated total energy in eV/atom: -6.247


[2]
A geometry-optimized MnTlNi structure, computed with GGA-PBE.

Cell: 5.617 5.617 3.105 Å, 73.95 73.95 32.10°
Last column: magnetic moment on the atom in μB.
Fractional coordinates of all 3 atoms:
Mn  0.026  0.026  0.974  3.69
Tl  0.325  0.325  0.675  -0.02
Ni  0.649  0.649  0.351  0.53

ΔE to the lowest computed polymorph in eV per atom: 0.0000
SG: I4mm, No. 107
Calculated formation energy in meV per atom: 302
Calculated total energy in eV/atom: -5.471


[3]
A geometry-optimized Mn4TlNi structure, computed with GGA-PBE.

Cell: 4.839 4.839 4.839 Å, 60.00 60.00 60.00°
Last column: magnetic moment on the atom in μB.
Fractional coordinates of all 6 atoms:
Ni  0.250  0.250  0.250  0.58
Mn  0.624  0.624  0.624  1.54
Mn  0.624  0.624  0.127  1.54
Mn  0.127  0.624  0.624  1.54
Mn  0.624  0.127  0.624  1.54
Tl  0.000  0.000  0.000  -0.04

SG: F-43m, No. 216
Calculated formation energy in meV per atom: 501
Calculated total energy in eV/atom: -6.970


[4]
A geometry-optimized Mn2TlNi structure, computed with GGA-PBE.

Cell: 8.533 8.533 8.533 Å, 20.58 20.58 20.58°
Last column: magnetic moment on the atom in μB.
Fractional coordinates of all 4 atoms:
Ni  0.250  0.250  0.250  0.79
Mn  0.513  0.513  0.513  3.59
Mn  0.987  0.987  0.987  3.59
Tl  0.750  0.750  0.750  -0.10

ΔE to the lowest computed polymorph in eV per atom: 0.1660
SG: R-3m, No. 166
Calculated formation energy in meV per atom: 457
Calculated total energy in eV/atom: -6.165


[5]
A geometry-optimized MnTlNi structure, computed with GGA-PBE.

Cell: 4.384 4.384 2.975 Å, 90.00 90.00 120.00°
Last column: magnetic moment on the atom in μB.
Fractional coordinates of all 3 atoms:
Mn  0.000  0.000  0.043  3.65
Ni  0.667  0.333  0.361  0.43
Tl  0.333  0.667  0.596  -0.06

ΔE to the lowest computed polymorph in eV per atom: 0.0980
SG: P3m1, No. 156
Calculated formation energy in meV per atom: 400
Calculated total energy in eV/atom: -5.373


[6]
A geometry-optimized Mn2TlNi structure, computed with GGA-PBE.

Cell: 3.167 3.167 6.176 Å, 90.00 90.00 89.99°
Last column: magnetic moment on the atom in μB.
Fractional coordinates of all 4 atoms:
Tl  0.500  0.500  0.739  -0.04
Mn  0.500  0.500  0.268  3.27
Mn  0.000  0.000  0.031  3.35
Ni  0.000  0.000  0.462  0.42

ΔE to the lowest computed polymorph in eV per atom: 0.0547
SG: P4mm, No. 99
Calculated formation energy in meV per atom: 346
Calculated total energy in eV/atom: -6.276


[7]
A geometry-optimized Mn2TlNi structure, computed with GGA-PBE.

Cell: 3.060 3.060 6.999 Å, 90.00 90.00 90.00°
Last column: magnetic moment on the atom in μB.
Fractional coordinates of all 4 atoms:
Mn  0.000  0.000  0.051  3.73
Mn  0.000  0.000  0.449  3.73
Tl  0.500  0.500  0.750  -0.05
Ni  0.500  0.500  0.250  0.74

ΔE to the lowest computed polymorph in eV per atom: 0.0000
SG: P4/mmm, No. 123
Calculated formation energy in meV per atom: 291
Calculated total energy in eV/atom: -6.331


[8]
A geometry-optimized MnTlNi structure, computed with GGA-PBE.

Cell: 4.280 4.280 4.280 Å, 60.00 60.00 60.00°
Last column: magnetic moment on the atom in μB.
Fractional coordinates of all 3 atoms:
Ni  0.250  0.250  0.250  0.25
Mn  0.500  0.500  0.500  3.81
Tl  0.000  0.000  0.000  -0.07

ΔE to the lowest computed polymorph in eV per atom: 0.0751
SG: F-43m, No. 216
Calculated formation energy in meV per atom: 377
Calculated total energy in eV/atom: -5.396


> What is the calculated total energy in the first record?

-6.247 eV/atom


Please write out number 5 again, unchanged.
A geometry-optimized MnTlNi structure, computed with GGA-PBE.

Cell: 4.384 4.384 2.975 Å, 90.00 90.00 120.00°
Last column: magnetic moment on the atom in μB.
Fractional coordinates of all 3 atoms:
Mn  0.000  0.000  0.043  3.65
Ni  0.667  0.333  0.361  0.43
Tl  0.333  0.667  0.596  -0.06

ΔE to the lowest computed polymorph in eV per atom: 0.0980
SG: P3m1, No. 156
Calculated formation energy in meV per atom: 400
Calculated total energy in eV/atom: -5.373


> calculated total energy of number 8 (MnTlNi)?

-5.396 eV/atom


> Which of these has the highest calculated formation energy?

Mn4TlNi